Record 1
Here is Pm4Bi2Sb after structural relaxation from the Alexandria database. Energies are from PBE.

Summary:
Excess energy over the best structure of this formula in the dataset (eV per formula unit): 0.00
ΔE_f (raw) (eV/atom): -0.901

The structure in CIF format:
```
data_Pm4Bi2Sb
_chemical_formula_sum 'Pm16 Bi8 Sb4'
_space_group_name_H-M_alt 'I -4 2 d'
_space_group_IT_number 122
_space_group_name_Hall 'I -4 2bw'
_cell_length_a 9.546
_cell_length_b 9.546
_cell_length_c 9.601
_cell_angle_alpha 90.00
_cell_angle_beta 90.00
_cell_angle_gamma 90.00
loop_
_atom_site_label
_atom_site_type_symbol
_atom_site_fract_x
_atom_site_fract_y
_atom_site_fract_z
_atom_site_occupancy
Pm1 Pm 0.071 0.682 0.450 1
Bi1 Bi 0.122 0.750 0.125 1
Sb1 Sb 0.000 0.000 0.500 1
```


Record 2
Here is Pm3Bi2Sb after structural relaxation from the Alexandria database. Energies are from PBE.

Summary:
ΔE_f (raw) (eV/atom): -1.022

The structure in CIF format:
```
data_Pm3Bi2Sb
_chemical_formula_sum 'Pm6 Bi4 Sb2'
_space_group_name_H-M_alt 'I m m m'
_space_group_IT_number 71
_space_group_name_Hall '-I 2 2'
_cell_length_a 4.550
_cell_length_b 6.428
_cell_length_c 13.651
_cell_angle_alpha 90.00
_cell_angle_beta 90.00
_cell_angle_gamma 90.00
loop_
_atom_site_label
_atom_site_type_symbol
_atom_site_fract_x
_atom_site_fract_y
_atom_site_fract_z
_atom_site_occupancy
Pm1 Pm 0.000 0.000 0.000 1
Pm2 Pm 0.000 0.000 0.337 1
Bi1 Bi 0.000 0.500 0.332 1
Sb1 Sb 0.000 0.500 0.000 1
```


Record 3
Here is Pm5Bi4Sb after structural relaxation from the Alexandria database. Energies are from PBE.

Summary:
ΔE_f (raw) (eV/atom): -0.990

The structure in CIF format:
```
data_Pm5Bi4Sb
_chemical_formula_sum 'Pm10 Bi8 Sb2'
_space_group_name_H-M_alt 'I 4/m'
_space_group_IT_number 87
_space_group_name_Hall '-I 4'
_cell_length_a 10.199
_cell_length_b 10.199
_cell_length_c 6.450
_cell_angle_alpha 90.00
_cell_angle_beta 90.00
_cell_angle_gamma 90.00
loop_
_atom_site_label
_atom_site_type_symbol
_atom_site_fract_x
_atom_site_fract_y
_atom_site_fract_z
_atom_site_occupancy
Pm1 Pm 0.000 0.000 0.000 1
Pm2 Pm 0.099 0.704 0.500 1
Bi1 Bi 0.099 0.699 0.000 1
Sb1 Sb 0.000 0.000 0.500 1
```


Record 4
Here is Pm2BiSb after structural relaxation from the Alexandria database. Energies are from PBE.

Summary:
Excess energy over the best structure of this formula in the dataset (eV per formula unit): 1.15
ΔE_f (raw) (eV/atom): -0.775

The structure in CIF format:
```
data_Pm2BiSb
_chemical_formula_sum 'Pm8 Bi4 Sb4'
_space_group_name_H-M_alt 'F m -3 m'
_space_group_IT_number 225
_space_group_name_Hall '-F 4 2 3'
_cell_length_a 7.839
_cell_length_b 7.839
_cell_length_c 7.839
_cell_angle_alpha 90.00
_cell_angle_beta 90.00
_cell_angle_gamma 90.00
loop_
_atom_site_label
_atom_site_type_symbol
_atom_site_fract_x
_atom_site_fract_y
_atom_site_fract_z
_atom_site_occupancy
Pm1 Pm 0.250 0.250 0.250 1
Bi1 Bi 0.000 0.000 0.000 1
Sb1 Sb 0.000 0.000 0.500 1
```


Record 5
Here is Pm2BiSb after structural relaxation from the Alexandria database. Energies are from PBE.

Summary:
Excess energy over the best structure of this formula in the dataset (eV per formula unit): 0.93
ΔE_f (raw) (eV/atom): -0.831

The structure in CIF format:
```
data_Pm2BiSb
_chemical_formula_sum 'Pm2 Bi1 Sb1'
_space_group_name_H-M_alt 'P 4/m m m'
_space_group_IT_number 123
_space_group_name_Hall '-P 4 2'
_cell_length_a 5.886
_cell_length_b 5.886
_cell_length_c 3.420
_cell_angle_alpha 90.00
_cell_angle_beta 90.00
_cell_angle_gamma 90.00
loop_
_atom_site_label
_atom_site_type_symbol
_atom_site_fract_x
_atom_site_fract_y
_atom_site_fract_z
_atom_site_occupancy
Pm1 Pm 0.000 0.500 0.000 1
Bi1 Bi 0.000 0.000 0.500 1
Sb1 Sb 0.500 0.500 0.500 1
```


Record 6
Here is Pm6BiSb3 after structural relaxation from the Alexandria database. Energies are from PBE.

Summary:
ΔE_f (raw) (eV/atom): -0.773

The structure in CIF format:
```
data_Pm6BiSb3
_chemical_formula_sum 'Pm24 Bi4 Sb12'
_space_group_name_H-M_alt 'C m c 21'
_space_group_IT_number 36
_cell_length_a 11.386
_cell_length_b 15.167
_cell_length_c 7.887
_cell_angle_alpha 90.00
_cell_angle_beta 90.00
_cell_angle_gamma 90.00
loop_
_space_group_symop_operation_xyz
'x,y,z'
'-x,-y,z+1/2'
'-x,y,z'
'x,-y,z+1/2'
'x+1/2,y+1/2,z'
'-x+1/2,-y+1/2,z+1/2'
'-x+1/2,y+1/2,z'
'x+1/2,-y+1/2,z+1/2'
loop_
_atom_site_label
_atom_site_type_symbol
_atom_site_fract_x
_atom_site_fract_y
_atom_site_fract_z
_atom_site_occupancy
Pm1 Pm 0.000 0.000 0.000 1
Pm2 Pm 0.000 0.250 0.372 1
Pm3 Pm 0.174 0.454 0.402 1
Pm4 Pm 0.188 0.275 0.993 1
Bi1 Bi 0.000 0.171 0.744 1
Sb1 Sb 0.000 0.417 0.098 1
Sb2 Sb 0.181 0.103 0.230 1
```